Entry 1:
Hg3BAs after structural relaxation. Source: the Alexandria database, functional PBE-GGA.

Unit cell a=5.3634 b=5.3634 c=5.3634 alpha=90.00 beta=90.00 gamma=90.00
Last column: nearest neighbours and their distance in Å.
Fractional coordinates of all 5 atoms:
1 As 0.0000 0.0000 0.0000  6 Hg 2.68
2 Hg 0.0000 0.5000 0.0000  2 As 2.68
3 Hg 0.0000 0.0000 0.5000  2 As 2.68
4 Hg 0.5000 0.0000 0.0000  2 As 2.68
5 B 0.5000 0.5000 0.5000  12 Hg 3.79

Computed properties:
Calculated volume   154.3 Å³/f.u.
Total magnetization   0.13 μB/f.u.
Formation enthalpy at 0 K   28.35 kcal/mol of atoms
Uncorrected energy   -1.22 eV per atom
Density of states at the Fermi level   0.6572 states/eV/atom
Excess energy over the best structure of this formula in the dataset   0.450 eV/atom
Crystal system   cubic



Entry 2:
Hg2BAs after structural relaxation. Source: the Alexandria database, functional PBE-GGA.

Unit cell a=6.3086 b=6.3086 c=6.3036 alpha=59.97 beta=59.97 gamma=90.00
Last column: nearest neighbours and their distance in Å.
Fractional coordinates of all 8 atoms:
1 Hg 0.5630 0.1250 0.2500  2 B 2.27
2 Hg 0.8750 0.8130 0.7500  2 B 2.27
3 Hg 0.1870 0.6250 0.2500  2 B 2.27
4 Hg 0.3750 0.4370 0.7500  2 B 2.27
5 As 0.0000 0.0000 0.0000  4 Hg 2.76
6 As 0.7500 0.2500 0.5000  4 Hg 2.76
7 B 0.2500 0.7500 0.5000  4 Hg 2.27
8 B 0.5000 0.5000 0.0000  4 Hg 2.27

Computed properties:
Calculated volume   88.6 Å³/f.u.
Total magnetization   0.00 μB/f.u.
Formation enthalpy at 0 K   20.59 kcal/mol of atoms
Uncorrected energy   -2.09 eV per atom
Density of states at the Fermi level   0.4611 states/eV/atom
Excess energy over the best structure of this formula in the dataset   0.000 eV/atom
Crystal system   tetragonal



Entry 3:
HgBAs2 after structural relaxation. Source: the Alexandria database, functional PBE-GGA.

Unit cell a=4.6890 b=4.6890 c=4.6890 alpha=60.00 beta=60.00 gamma=60.00
Last column: nearest neighbours and their distance in Å.
Fractional coordinates of all 4 atoms:
1 B 0.0000 0.0000 0.0000  8 As 2.87
2 As 0.2500 0.2500 0.2500  4 Hg 2.87, 4 B 2.87
3 As 0.7500 0.7500 0.7500  4 Hg 2.87, 4 B 2.87
4 Hg 0.5000 0.5000 0.5000  8 As 2.87

Computed properties:
Calculated volume   72.9 Å³/f.u.
Total magnetization   0.00 μB/f.u.
Formation enthalpy at 0 K   28.29 kcal/mol of atoms
Uncorrected energy   -2.84 eV per atom
Density of states at the Fermi level   0.5119 states/eV/atom
Excess energy over the best structure of this formula in the dataset   0.968 eV/atom
Crystal system   cubic



Entry 4:
HgBAs3 after structural relaxation. Source: the Alexandria database, functional PBE-GGA.

Unit cell a=5.2159 b=5.2159 c=5.2159 alpha=90.00 beta=90.00 gamma=90.00
Last column: nearest neighbours and their distance in Å.
Fractional coordinates of all 5 atoms:
1 As 0.0000 0.0000 0.5000  2 Hg 2.61
2 As 0.0000 0.5000 0.0000  2 Hg 2.61
3 As 0.5000 0.0000 0.0000  2 Hg 2.61
4 Hg 0.0000 0.0000 0.0000  6 As 2.61
5 B 0.5000 0.5000 0.5000  12 As 3.69

Computed properties:
Calculated volume   141.9 Å³/f.u.
Total magnetization   0.00 μB/f.u.
Formation enthalpy at 0 K   44.75 kcal/mol of atoms
Uncorrected energy   -2.24 eV per atom
Density of states at the Fermi level   1.2557 states/eV/atom
Excess energy over the best structure of this formula in the dataset   1.150 eV/atom
Crystal system   cubic